Below is crystalline AsRuO2 at its relaxed geometry, with properties calculated at the GGA-PBEsol level.

Values from the calculation:
Total energy (eV for the cell shown): -51.2

abc: 4.848 4.848 5.775
angles: 114.82 114.82 90.00
Fractional coordinates of all 8 atoms:
Ru  0.250  0.750  0.500
Ru  0.000  0.000  0.000
As  0.750  0.250  0.500
As  0.500  0.500  0.000
O  0.342  0.875  0.250
O  0.908  0.375  0.250
O  0.125  0.092  0.750
O  0.625  0.658  0.750



Below is crystalline LuRu at its relaxed geometry, with properties calculated at the GGA-PBEsol level.

Values from the calculation:
Total energy (eV for the cell shown): -15.9

abc: 3.274 3.274 3.274
angles: 90.00 90.00 90.00
Fractional coordinates of all 2 atoms:
Ru  0.000  0.000  0.000
Lu  0.500  0.500  0.500



Below is crystalline TcAgRu2 at its relaxed geometry, with properties calculated at the GGA-PBEsol level.

Values from the calculation:
Total energy (eV for the cell shown): -32.2
Polymorph energy (0 for the lowest one) (meV per atom): 195

abc: 2.796 4.532 4.532
angles: 90.00 90.00 90.00
Fractional coordinates of all 4 atoms:
Ag  0.500  0.000  0.000
Ru  0.000  0.000  0.500
Ru  0.000  0.500  0.000
Tc  0.500  0.500  0.500



Below is crystalline SrLi2Ca at its relaxed geometry, with properties calculated at the GGA-PBEsol level.

Values from the calculation:
Total energy (eV for the cell shown): -7.8
Polymorph energy (0 for the lowest one) (meV per atom): 0

abc: 3.906 3.906 8.702
angles: 90.00 90.00 90.00
Fractional coordinates of all 4 atoms:
Sr  0.000  0.000  0.461
Ca  0.500  0.500  0.802
Li  0.000  0.000  0.045
Li  0.500  0.500  0.191



| no. | total magnetic moment (μB/cell) |
| --- | --- |
| 1 | 0.00 |
| 2 | 0.00 |
| 3 | 0.02 |
| 4 | 0.00 |